[1]
! ErTmInPb (PBE-GGA, relaxed); values from VASP
! Formation enthalpy at 0 K = -0.36 eV/atom
! Total magnetization = 0.00 μB/cell
! DFT total energy = -16.922 eV per cell
! SG = No. 216
! ΔE to the lowest computed polymorph = 0.043 eV/atom
&SYSTEM
  ibrav = 0, nat = 4, ntyp = 4
/
ATOMIC_SPECIES
Pb 207.20 Pb.upf
In 114.82 In.upf
Er 167.26 Er.upf
Tm 168.93 Tm.upf
ATOMIC_POSITIONS crystal
Pb 0.2500 0.2500 0.2500
In 0.7500 0.7500 0.7500
Er 0.0000 0.0000 0.0000
Tm 0.5000 0.5000 0.5000
CELL_PARAMETERS angstrom
5.3485 0.0000 0.0000
2.6742 4.6319 0.0000
2.6742 1.5440 4.3670

---

[2]
! ErTmInPb (PBE-GGA, relaxed); values from VASP
! Formation enthalpy at 0 K = -0.40 eV/atom
! Total magnetization = 0.00 μB/cell
! DFT total energy = -17.096 eV per cell
! SG = No. 119
! ΔE to the lowest computed polymorph = 0.000 eV/atom
&SYSTEM
  ibrav = 0, nat = 4, ntyp = 4
/
ATOMIC_SPECIES
Pb 207.20 Pb.upf
Er 167.26 Er.upf
In 114.82 In.upf
Tm 168.93 Tm.upf
ATOMIC_POSITIONS crystal
Pb 0.5000 0.5000 0.0000
Er 0.7500 0.2500 0.5000
In 0.0000 0.0000 0.0000
Tm 0.2500 0.7500 0.5000
CELL_PARAMETERS angstrom
-4.0915 -1.8476 2.0557
2.2252 -0.0235 4.4077
-0.5234 5.0031 -2.4749

---

[3]
! Er4InPd3 (PBE-GGA, relaxed); values from VASP
! Formation enthalpy at 0 K = -0.77 eV/atom
! Total magnetization = 0.00 μB/cell
! DFT total energy = -85.501 eV per cell
! SG = No. 51
&SYSTEM
  ibrav = 0, nat = 16, ntyp = 3
/
ATOMIC_SPECIES
Er 167.26 Er.upf
Pd 106.42 Pd.upf
In 114.82 In.upf
ATOMIC_POSITIONS crystal
Er 0.0005 0.2370 0.7500
Er 0.5000 0.7630 0.5000
Er 0.5000 0.2370 0.5000
Er 0.0005 0.7630 0.7500
Er 0.9995 0.7630 0.2500
Er 0.5000 0.7630 0.0000
Er 0.5000 0.2370 0.0000
Er 0.9995 0.2370 0.2500
Pd 0.5012 0.0000 0.7500
Pd 0.4988 0.0000 0.2500
Pd 0.0000 0.0000 0.0000
Pd 0.4985 0.5000 0.2500
Pd 0.0000 0.0000 0.5000
Pd 0.5015 0.5000 0.7500
In 0.0000 0.5000 0.5000
In 0.0000 0.5000 0.0000
CELL_PARAMETERS angstrom
5.0025 0.0000 0.0000
0.0000 7.1320 0.0000
0.0000 0.0000 10.0051

---

[4]
! ErInPd (PBE-GGA, relaxed); values from VASP
! Formation enthalpy at 0 K = -0.66 eV/atom
! Total magnetization = 0.00 μB/cell
! DFT total energy = -14.469 eV per cell
! SG = No. 216
&SYSTEM
  ibrav = 0, nat = 3, ntyp = 3
/
ATOMIC_SPECIES
Pd 106.42 Pd.upf
In 114.82 In.upf
Er 167.26 Er.upf
ATOMIC_POSITIONS crystal
Pd 0.2500 0.2500 0.2500
In 0.5000 0.5000 0.5000
Er 0.0000 0.0000 0.0000
CELL_PARAMETERS angstrom
-4.3158 -0.8470 1.6409
-0.5688 -1.7212 4.3302
-1.7976 2.7099 3.3855

---

[5]
! Er4In3Pd (PBE-GGA, relaxed); values from VASP
! Formation enthalpy at 0 K = -0.57 eV/atom
! Total magnetization = 0.00 μB/cell
! DFT total energy = -36.214 eV per cell
! SG = No. 123
&SYSTEM
  ibrav = 0, nat = 8, ntyp = 3
/
ATOMIC_SPECIES
Er 167.26 Er.upf
In 114.82 In.upf
Pd 106.42 Pd.upf
ATOMIC_POSITIONS crystal
Er 0.0000 0.0000 0.8936
Er 0.0000 0.0000 0.6314
Er 0.0000 0.0000 0.3686
Er 0.0000 0.0000 0.1064
In 0.5000 0.5000 0.7610
In 0.5000 0.5000 0.2390
In 0.5000 0.5000 0.5000
Pd 0.5000 0.5000 0.0000
CELL_PARAMETERS angstrom
3.5506 0.0000 0.0000
0.0000 3.5506 0.0000
0.0000 0.0000 15.6920

---

[6]
! ErIn2Pd8 (PBE-GGA, relaxed); values from VASP
! Formation enthalpy at 0 K = -0.57 eV/atom
! Total magnetization = 0.00 μB/cell
! DFT total energy = -57.817 eV per cell
! SG = No. 12
&SYSTEM
  ibrav = 0, nat = 11, ntyp = 3
/
ATOMIC_SPECIES
Pd 106.42 Pd.upf
In 114.82 In.upf
Er 167.26 Er.upf
ATOMIC_POSITIONS crystal
Pd 0.4058 0.5381 0.8115
Pd 0.1415 0.1944 0.2830
Pd 0.6795 0.9144 0.3590
Pd 0.5942 0.4619 0.1885
Pd 0.0397 0.7227 0.0793
Pd 0.3205 0.0856 0.6410
Pd 0.9603 0.2773 0.9207
Pd 0.8585 0.8056 0.7170
In 0.2203 0.6574 0.4406
In 0.7797 0.3426 0.5594
Er 0.5000 0.0000 0.0000
CELL_PARAMETERS angstrom
-0.7438 -4.0980 0.0016
5.4547 -0.9914 -3.3986
2.0927 1.7394 7.0490

---

[7]
! Er8InPd2 (PBE-GGA, relaxed); values from VASP
! Formation enthalpy at 0 K = -0.34 eV/atom
! Total magnetization = 0.49 μB/cell
! DFT total energy = -53.373 eV per cell
! SG = No. 12
&SYSTEM
  ibrav = 0, nat = 11, ntyp = 3
/
ATOMIC_SPECIES
Er 167.26 Er.upf
In 114.82 In.upf
Pd 106.42 Pd.upf
ATOMIC_POSITIONS crystal
Er 0.6925 0.3920 0.3920
Er 0.9197 0.9182 0.6707
Er 0.9197 0.6707 0.9182
Er 0.0803 0.0818 0.3293
Er 0.5000 0.2416 0.7584
Er 0.0803 0.3293 0.0818
Er 0.5000 0.7584 0.2416
Er 0.3075 0.6080 0.6080
In 0.5000 0.0000 0.0000
Pd 0.0000 0.6958 0.3042
Pd 0.0000 0.3042 0.6958
CELL_PARAMETERS angstrom
-2.8599 3.9131 2.3543
-5.5973 -5.7518 0.0159
5.6976 -0.8495 5.5882

---

[8]
! Er2In5Pd3 (PBE-GGA, relaxed); values from VASP
! Formation enthalpy at 0 K = -0.61 eV/atom
! Total magnetization = 0.00 μB/cell
! DFT total energy = -88.901 eV per cell
! SG = No. 36
&SYSTEM
  ibrav = 0, nat = 20, ntyp = 3
/
ATOMIC_SPECIES
Er 167.26 Er.upf
Pd 106.42 Pd.upf
In 114.82 In.upf
ATOMIC_POSITIONS crystal
Er 0.1761 0.6939 0.3522
Er 0.5225 0.2856 0.0449
Er 0.4775 0.7856 0.9551
Er 0.8239 0.1939 0.6478
Pd 0.6105 0.5211 0.2209
Pd 0.2283 0.1898 0.4566
Pd 0.0433 0.0090 0.0865
Pd 0.7717 0.6898 0.5434
Pd 0.3895 0.0211 0.7791
Pd 0.9567 0.5090 0.9135
In 0.8760 0.7558 0.7520
In 0.9461 0.1192 0.8922
In 0.4023 0.4075 0.8047
In 0.0539 0.6192 0.1078
In 0.2929 0.4850 0.5859
In 0.7071 0.9850 0.4141
In 0.7071 0.3979 0.4141
In 0.2929 0.8979 0.5859
In 0.1240 0.2558 0.2480
In 0.5977 0.9075 0.1953
CELL_PARAMETERS angstrom
-0.9141 -3.3944 -2.7360
4.1616 -4.4125 4.0839
-10.1846 -1.4429 8.8193

---

[9]
! Er4InPd5 (PBE-GGA, relaxed); values from VASP
! Formation enthalpy at 0 K = -0.85 eV/atom
! Total magnetization = 0.00 μB/cell
! DFT total energy = -55.432 eV per cell
! SG = No. 123
&SYSTEM
  ibrav = 0, nat = 10, ntyp = 3
/
ATOMIC_SPECIES
Er 167.26 Er.upf
Pd 106.42 Pd.upf
In 114.82 In.upf
ATOMIC_POSITIONS crystal
Er 0.0000 0.0000 0.1912
Er 0.0000 0.0000 0.3972
Er 0.0000 0.0000 0.6028
Er 0.0000 0.0000 0.8088
Pd 0.5000 0.5000 0.9078
Pd 0.5000 0.5000 0.0922
Pd 0.5000 0.5000 0.5000
Pd 0.5000 0.5000 0.2941
Pd 0.5000 0.5000 0.7059
In 0.0000 0.0000 0.0000
CELL_PARAMETERS angstrom
3.4426 0.0000 0.0000
0.0000 3.4426 0.0000
0.0000 0.0000 17.2448

---

[10]
! ErIn2Pd7 (PBE-GGA, relaxed); values from VASP
! Formation enthalpy at 0 K = -0.18 eV/atom
! Total magnetization = 0.00 μB/cell
! DFT total energy = -48.209 eV per cell
! SG = No. 65
&SYSTEM
  ibrav = 0, nat = 10, ntyp = 3
/
ATOMIC_SPECIES
In 114.82 In.upf
Pd 106.42 Pd.upf
Er 167.26 Er.upf
ATOMIC_POSITIONS crystal
In 0.5000 0.6977 0.3023
In 0.5000 0.3023 0.6977
Pd 0.5000 0.7131 0.9206
Pd 0.5000 0.9206 0.7131
Pd 0.5000 0.2869 0.0794
Pd 0.0000 0.1945 0.8055
Pd 0.0000 0.8055 0.1945
Pd 0.5000 0.0794 0.2869
Pd 0.5000 0.5000 0.5000
Er 0.0000 0.0000 0.0000
CELL_PARAMETERS angstrom
4.3507 0.0000 0.0000
0.0000 7.8040 -0.4844
0.0000 -3.9531 6.7462

---

[11]
! Er2InPd3 (PBE-GGA, relaxed); values from VASP
! Formation enthalpy at 0 K = -0.86 eV/atom
! Total magnetization = 0.00 μB/cell
! DFT total energy = -65.227 eV per cell
! SG = No. 164
&SYSTEM
  ibrav = 0, nat = 12, ntyp = 3
/
ATOMIC_SPECIES
Pd 106.42 Pd.upf
In 114.82 In.upf
Er 167.26 Er.upf
ATOMIC_POSITIONS crystal
Pd 0.3333 0.6667 0.4256
Pd 0.0000 0.0000 0.2498
Pd 0.6667 0.3333 0.5744
Pd 0.3333 0.6667 0.9189
Pd 0.6667 0.3333 0.0811
Pd 0.0000 0.0000 0.7502
In 0.6667 0.3333 0.3325
In 0.3333 0.6667 0.6675
Er 0.0000 0.0000 0.0000
Er 0.3333 0.6667 0.1785
Er 0.0000 0.0000 0.5000
Er 0.6667 0.3333 0.8215
CELL_PARAMETERS angstrom
-4.4636 -1.3530 -1.3375
2.1531 -2.1429 3.7836
-4.5890 8.0504 7.1709

---

[12]
! Er3In2Pd (PBE-GGA, relaxed); values from VASP
! Formation enthalpy at 0 K = -0.61 eV/atom
! Total magnetization = 0.00 μB/cell
! DFT total energy = -28.009 eV per cell
! SG = No. 123
&SYSTEM
  ibrav = 0, nat = 6, ntyp = 3
/
ATOMIC_SPECIES
Er 167.26 Er.upf
Pd 106.42 Pd.upf
In 114.82 In.upf
ATOMIC_POSITIONS crystal
Er 0.0000 0.0000 0.0000
Er 0.0000 0.0000 0.6443
Er 0.0000 0.0000 0.3557
Pd 0.5000 0.5000 0.5000
In 0.5000 0.5000 0.1759
In 0.5000 0.5000 0.8241
CELL_PARAMETERS angstrom
-2.2341 1.9066 -1.9913
-1.8856 -2.9266 -0.6866
-6.5713 2.0450 9.3304

---

[13]
! ErIn4Pd2 (PBE-GGA, relaxed); values from VASP
! Formation enthalpy at 0 K = -0.51 eV/atom
! Total magnetization = 0.00 μB/cell
! DFT total energy = -118.006 eV per cell
! SG = No. 62
&SYSTEM
  ibrav = 0, nat = 28, ntyp = 3
/
ATOMIC_SPECIES
In 114.82 In.upf
Pd 106.42 Pd.upf
Er 167.26 Er.upf
ATOMIC_POSITIONS crystal
In 0.2500 0.8369 0.1869
In 0.7500 0.3369 0.3131
In 0.7500 0.7514 0.3099
In 0.7500 0.7486 0.8099
In 0.2500 0.4968 0.4309
In 0.2500 0.2486 0.6901
In 0.2500 0.3609 0.0343
In 0.2500 0.1391 0.5343
In 0.2500 0.6631 0.6869
In 0.7500 0.6391 0.9657
In 0.2500 0.0032 0.9309
In 0.2500 0.2514 0.1901
In 0.7500 0.1631 0.8131
In 0.7500 0.5032 0.5691
In 0.7500 0.8609 0.4657
In 0.7500 0.9968 0.0691
Pd 0.2500 0.9535 0.7814
Pd 0.7500 0.4535 0.7186
Pd 0.2500 0.5465 0.2814
Pd 0.2500 0.7528 0.5426
Pd 0.7500 0.0465 0.2186
Pd 0.2500 0.7472 0.0426
Pd 0.7500 0.2472 0.4574
Pd 0.7500 0.2528 0.9574
Er 0.7500 0.5415 0.1433
Er 0.2500 0.0415 0.3567
Er 0.2500 0.4585 0.8567
Er 0.7500 0.9585 0.6433
CELL_PARAMETERS angstrom
-0.1004 2.7900 3.5244
-3.4446 -5.1065 3.9443
16.2673 -6.5874 5.6780

---

[14]
! ErIn2Pd6 (PBE-GGA, relaxed); values from VASP
! Formation enthalpy at 0 K = -0.48 eV/atom
! Total magnetization = 0.00 μB/cell
! DFT total energy = -45.525 eV per cell
! SG = No. 12
&SYSTEM
  ibrav = 0, nat = 9, ntyp = 3
/
ATOMIC_SPECIES
In 114.82 In.upf
Pd 106.42 Pd.upf
Er 167.26 Er.upf
ATOMIC_POSITIONS crystal
In 0.3371 0.3375 0.6749
In 0.6629 0.6625 0.3251
Pd 0.5000 0.7987 0.0000
Pd 0.1757 0.4823 0.3513
Pd 0.8243 0.5177 0.6487
Pd 0.8243 0.1311 0.6487
Pd 0.1757 0.8689 0.3513
Pd 0.5000 0.2013 0.0000
Er 0.0000 0.0000 0.0000
CELL_PARAMETERS angstrom
4.6932 0.0000 -0.1754
0.0000 7.6795 0.0000
-2.1601 -3.8397 4.7072

---

[15]
! ErInPd4 (PBE-GGA, relaxed); values from VASP
! Formation enthalpy at 0 K = -0.66 eV/atom
! Total magnetization = 0.00 μB/cell
! DFT total energy = -32.024 eV per cell
! SG = No. 216
! ΔE to the lowest computed polymorph = 0.016 eV/atom
&SYSTEM
  ibrav = 0, nat = 6, ntyp = 3
/
ATOMIC_SPECIES
Pd 106.42 Pd.upf
In 114.82 In.upf
Er 167.26 Er.upf
ATOMIC_POSITIONS crystal
Pd 0.6247 0.6247 0.6247
Pd 0.1260 0.6247 0.6247
Pd 0.6247 0.1260 0.6247
Pd 0.6247 0.6247 0.1260
In 0.2500 0.2500 0.2500
Er 0.0000 0.0000 0.0000
CELL_PARAMETERS angstrom
-5.1175 -0.2851 1.5965
-1.1587 -1.2809 5.0829
-1.9875 3.7214 3.3197

---

[16]
! Er5In4Pd2 (PBE-GGA, relaxed); values from VASP
! Formation enthalpy at 0 K = -0.69 eV/atom
! Total magnetization = 0.00 μB/cell
! DFT total energy = -103.525 eV per cell
! SG = No. 55
&SYSTEM
  ibrav = 0, nat = 22, ntyp = 3
/
ATOMIC_SPECIES
Pd 106.42 Pd.upf
In 114.82 In.upf
Er 167.26 Er.upf
ATOMIC_POSITIONS crystal
Pd 0.5000 0.4713 0.8041
Pd 0.5000 0.5287 0.1959
Pd 0.5000 0.9713 0.6959
Pd 0.5000 0.0287 0.3041
In 0.5000 0.4229 0.3509
In 0.5000 0.0771 0.8509
In 0.5000 0.2089 0.5674
In 0.5000 0.5771 0.6491
In 0.5000 0.2911 0.0674
In 0.5000 0.7911 0.4326
In 0.5000 0.7089 0.9326
In 0.5000 0.9229 0.1491
Er 0.0000 0.1173 0.4166
Er 0.0000 0.8827 0.5834
Er 0.0000 0.2560 0.7191
Er 0.0000 0.7560 0.7809
Er 0.0000 0.3827 0.9166
Er 0.0000 0.6173 0.0834
Er 0.0000 0.0000 0.0000
Er 0.0000 0.2440 0.2191
Er 0.0000 0.7440 0.2809
Er 0.0000 0.5000 0.5000
CELL_PARAMETERS angstrom
-1.8518 -1.9900 2.3991
2.8294 -6.7149 -3.3859
14.2262 0.3226 11.2483

---

[17]
! Er8In2Pd (PBE-GGA, relaxed); values from VASP
! Formation enthalpy at 0 K = -0.31 eV/atom
! Total magnetization = 0.00 μB/cell
! DFT total energy = -50.546 eV per cell
! SG = No. 12
&SYSTEM
  ibrav = 0, nat = 11, ntyp = 3
/
ATOMIC_SPECIES
In 114.82 In.upf
Er 167.26 Er.upf
Pd 106.42 Pd.upf
ATOMIC_POSITIONS crystal
In 0.1879 0.7584 0.3758
In 0.8121 0.2416 0.6242
Er 0.5916 0.4657 0.1832
Er 0.6471 0.9857 0.2943
Er 0.9832 0.2305 0.9664
Er 0.0168 0.7695 0.0336
Er 0.7916 0.6900 0.5832
Er 0.4084 0.5343 0.8168
Er 0.2084 0.3100 0.4168
Er 0.3529 0.0143 0.7057
Pd 0.5000 0.0000 0.0000
CELL_PARAMETERS angstrom
-3.1149 1.1949 3.7909
-0.3656 -6.4386 1.7290
8.7811 2.1629 3.1701

---

[18]
! ErInPd (PBE-GGA, relaxed); values from VASP
! Formation enthalpy at 0 K = -0.68 eV/atom
! Total magnetization = 0.00 μB/cell
! DFT total energy = -14.526 eV per cell
! SG = No. 187
&SYSTEM
  ibrav = 0, nat = 3, ntyp = 3
/
ATOMIC_SPECIES
In 114.82 In.upf
Er 167.26 Er.upf
Pd 106.42 Pd.upf
ATOMIC_POSITIONS crystal
In 0.1666 0.0000 0.0000
Er 0.6666 0.6667 0.3333
Pd 0.1668 0.3333 0.6667
CELL_PARAMETERS angstrom
-2.2469 -1.9500 -1.8456
3.0416 -3.5706 0.0696
-3.1845 0.4354 3.4169

---

[19]
! ErInPd6 (PBE-GGA, relaxed); values from VASP
! Formation enthalpy at 0 K = -0.36 eV/atom
! Total magnetization = 0.00 μB/cell
! DFT total energy = -41.318 eV per cell
! SG = No. 12
! ΔE to the lowest computed polymorph = 0.313 eV/atom
&SYSTEM
  ibrav = 0, nat = 8, ntyp = 3
/
ATOMIC_SPECIES
Er 167.26 Er.upf
Pd 106.42 Pd.upf
In 114.82 In.upf
ATOMIC_POSITIONS crystal
Er 0.5000 0.5000 0.5000
Pd 0.3594 0.3594 0.9350
Pd 0.4599 0.9421 0.7012
Pd 0.5401 0.0579 0.2988
Pd 0.6406 0.6406 0.0650
Pd 0.9421 0.4599 0.7012
Pd 0.0579 0.5401 0.2988
In 0.0000 0.0000 0.0000
CELL_PARAMETERS angstrom
4.8625 0.8169 -0.0292
1.1799 4.7873 -0.0292
1.7044 1.5808 6.9092

---

[20]
! Er2InPd8 (PBE-GGA, relaxed); values from VASP
! Formation enthalpy at 0 K = -0.65 eV/atom
! Total magnetization = 0.00 μB/cell
! DFT total energy = -60.585 eV per cell
! SG = No. 12
&SYSTEM
  ibrav = 0, nat = 11, ntyp = 3
/
ATOMIC_SPECIES
Pd 106.42 Pd.upf
Er 167.26 Er.upf
In 114.82 In.upf
ATOMIC_POSITIONS crystal
Pd 0.1452 0.1881 0.2904
Pd 0.6716 0.9060 0.3432
Pd 0.4081 0.5515 0.8161
Pd 0.8548 0.8119 0.7096
Pd 0.3284 0.0940 0.6568
Pd 0.9641 0.2741 0.9283
Pd 0.0359 0.7259 0.0717
Pd 0.5919 0.4485 0.1839
Er 0.2156 0.6662 0.4313
Er 0.7844 0.3338 0.5687
In 0.5000 0.0000 0.0000
CELL_PARAMETERS angstrom
4.2008 0.0000 0.0000
0.0000 6.5354 0.2932
-2.1004 -2.4320 6.9194